## Ga2H (PBE)

Data for a geometry-optimized Ga2H structure.

Lattice parameters (Å, degrees): 4.867 5.537 4.671 126.35 90.00 90.00
Positions (direct):
Ga1 0.750 0.086 0.461
H1 0.250 0.159 0.000
H2 0.750 0.841 0.000
Ga2 0.750 0.625 0.539
Ga3 0.250 0.375 0.461
Ga4 0.250 0.914 0.539

D(E_F) in states/eV per cell: 1.25
VASP energy in eV for the cell shown: -17.9